1.
13
Lattice="-6.1239 6.1239 2.5542 6.1239 -6.1239 2.5542 6.1239 6.1239 -2.5542" Properties=species:S:1:pos:R:3 comment="Tb4Dy5Tl4 (PBE, optimized geometry)" e_tot_ev_per_atom=-4.1740 dos_ef_per_ev_atom=0.88 magmom_total_mub_per_fu=0.000 pbc="T T T"
Tb 4.8089 1.1813 0.0000
Tb 4.9426 -1.3150 2.5542
Tb 1.1813 7.4389 0.0000
Tb 1.3150 4.9426 2.5542
Dy 0.0000 0.0000 0.0000
Dy 7.3416 3.8448 0.0000
Dy 3.8448 4.9062 0.0000
Dy 2.2791 1.2177 2.5542
Dy -1.2177 2.2791 2.5542
Tl 9.3859 1.3019 0.0000
Tl 1.3019 2.8619 0.0000
Tl 4.8219 3.2620 2.5542
Tl -3.2620 4.8219 2.5542

2.
5
Lattice="4.1908 0.0000 0.0000 0.0000 4.1908 0.0000 0.0000 0.0000 3.2074" Properties=species:S:1:pos:R:3 comment="Ti2CrCoH (PBE, optimized geometry)" relative_energy_ev_per_atom=0.004 e_tot_ev_per_atom=-7.3749 dos_ef_per_ev_atom=0.75 magmom_total_mub_per_fu=0.012 pbc="T T T"
Ti 0.0000 2.0954 0.0000
Ti 2.0954 0.0000 0.0000
Cr 0.0000 0.0000 1.6037
Co 2.0954 2.0954 1.6037
H 0.0000 0.0000 0.0000

3.
5
Lattice="4.8415 0.0000 0.0000 0.0000 4.8415 0.0000 0.0000 0.0000 4.8415" Properties=species:S:1:pos:R:3 comment="CsMoS3 (PBE, optimized geometry)" relative_energy_ev_per_atom=0.098 e_tot_ev_per_atom=-5.3613 dos_ef_per_ev_atom=0.36 magmom_total_mub_per_fu=0.000 pbc="T T T"
Cs 0.0000 0.0000 0.0000
Mo 2.4208 2.4208 2.4208
S 0.0000 2.4208 2.4208
S 2.4208 0.0000 2.4208
S 2.4208 2.4208 0.0000

4.
10
Lattice="4.9861 0.0000 0.0000 0.0000 4.6620 0.0000 -1.2129 0.0000 10.7136" Properties=species:S:1:pos:R:3 comment="PrHo2Cu2 (PBE, optimized geometry)" e_tot_ev_per_atom=-4.5476 dos_ef_per_ev_atom=1.10 magmom_total_mub_per_fu=0.000 pbc="T T T"
Pr 0.6660 1.1655 2.6160
Pr 3.1072 3.4965 8.0975
Ho 0.6428 3.4965 5.3093
Ho 0.6423 1.1655 9.4944
Ho 3.1309 3.4965 1.2192
Ho 3.1304 1.1655 5.4043
Cu 0.6257 3.4965 0.0537
Cu 0.6395 1.1655 6.7857
Cu 3.1337 3.4965 3.9279
Cu 3.1475 1.1655 10.6599

5.
20
Lattice="-5.5979 5.5979 5.5979 5.5979 -5.5979 5.5979 5.5979 5.5979 -5.5979" Properties=species:S:1:pos:R:3 comment="K12I4ClO3 (PBE, optimized geometry)" e_tot_ev_per_atom=-3.0522 dos_ef_per_ev_atom=0.13 magmom_total_mub_per_fu=0.000 pbc="T T T"
K 3.0943 0.0000 0.0000
K 8.1015 0.0000 0.0000
K 5.5979 2.7990 0.0000
K 5.5979 0.0000 2.7990
K 0.0000 3.0943 0.0000
K 0.0000 0.0000 3.0943
K 2.7990 5.5979 0.0000
K 2.7990 0.0000 5.5979
K 0.0000 8.1015 0.0000
K 0.0000 0.0000 8.1015
K 0.0000 5.5979 2.7990
K 0.0000 2.7990 5.5979
I 2.7990 2.7990 -2.7990
I 2.7990 -2.7990 2.7990
I -2.7990 2.7990 2.7990
I 2.7990 2.7990 2.7990
Cl 0.0000 0.0000 0.0000
O 5.5979 0.0000 0.0000
O 0.0000 5.5979 0.0000
O 0.0000 0.0000 5.5979

6.
4
Lattice="0.0000 3.4369 3.4369 3.4369 0.0000 3.4369 3.4369 3.4369 0.0000" Properties=species:S:1:pos:R:3 comment="KZrP2 (PBE, optimized geometry)" relative_energy_ev_per_atom=0.580 e_tot_ev_per_atom=-5.1972 dos_ef_per_ev_atom=0.45 magmom_total_mub_per_fu=0.000 pbc="T T T"
K 0.0000 0.0000 0.0000
Zr 3.4369 3.4369 3.4369
P 1.7184 1.7184 1.7184
P 5.1553 5.1553 5.1553

7.
4
Lattice="0.0000 3.7983 3.7983 3.7983 0.0000 3.7983 3.7983 3.7983 0.0000" Properties=species:S:1:pos:R:3 comment="NaSmHoSn (PBE, optimized geometry)" e_tot_ev_per_atom=-3.9306 dos_ef_per_ev_atom=0.86 magmom_total_mub_per_fu=0.003 pbc="T T T"
Na 0.0000 0.0000 0.0000
Sm 1.8991 1.8991 1.8991
Ho 5.6974 5.6974 5.6974
Sn 3.7983 3.7983 3.7983

8.
5
Lattice="4.3962 0.0000 0.0000 0.0000 4.3962 0.0000 0.0000 0.0000 4.4230" Properties=species:S:1:pos:R:3 comment="Hf2ScAlN (PBE, optimized geometry)" relative_energy_ev_per_atom=0.000 e_tot_ev_per_atom=-8.5670 dos_ef_per_ev_atom=0.56 magmom_total_mub_per_fu=0.000 pbc="T T T"
Hf 0.0000 2.1981 0.0000
Hf 2.1981 0.0000 0.0000
Sc 0.0000 0.0000 2.2115
Al 2.1981 2.1981 2.2115
N 0.0000 0.0000 0.0000

9.
4
Lattice="3.8771 0.0000 0.0000 0.0000 3.8771 0.0000 0.0000 0.0000 6.1599" Properties=species:S:1:pos:R:3 comment="LaCuAs2 (PBE, optimized geometry)" e_tot_ev_per_atom=-4.9327 dos_ef_per_ev_atom=0.74 magmom_total_mub_per_fu=0.000 pbc="T T T"
La 0.0000 0.0000 0.0000
Cu 1.9385 1.9385 3.5591
As 0.0000 0.0000 3.1602
As 1.9385 1.9385 1.1268

10.
5
Lattice="5.3661 0.0000 0.0000 0.0000 5.3661 0.0000 0.0000 0.0000 5.4557" Properties=species:S:1:pos:R:3 comment="BaTiTlSn2 (PBE, optimized geometry)" e_tot_ev_per_atom=-4.3429 dos_ef_per_ev_atom=0.42 magmom_total_mub_per_fu=0.000 pbc="T T T"
Ba 0.0000 0.0000 0.0000
Ti 2.6831 2.6831 2.7279
Tl 2.6831 2.6831 0.0000
Sn 0.0000 2.6831 2.7279
Sn 2.6831 0.0000 2.7279

11.
10
Lattice="1.2815 0.7399 11.4264 -1.2815 0.7399 11.4264 0.0000 -1.4798 11.4264" Properties=species:S:1:pos:R:3 comment="B2C3 (PBE, optimized geometry)" relative_energy_ev_per_atom=0.151 e_tot_ev_per_atom=-7.8186 dos_ef_per_ev_atom=0.23 magmom_total_mub_per_fu=0.000 pbc="T T T"
B 0.0000 0.0000 0.0000
B 0.0000 0.0000 1.6996
B 0.0000 0.0000 21.7907
B 0.0000 0.0000 27.4459
C 0.0000 0.0000 6.7144
C 0.0000 0.0000 8.2655
C 0.0000 0.0000 13.8864
C 0.0000 0.0000 15.2928
C 0.0000 0.0000 20.2094
C 0.0000 0.0000 29.0514

12.
6
Lattice="0.0000 3.9211 3.9211 3.9211 0.0000 3.9211 3.9211 3.9211 0.0000" Properties=species:S:1:pos:R:3 comment="ZrScTi4 (PBE, optimized geometry)" e_tot_ev_per_atom=-7.5568 dos_ef_per_ev_atom=2.42 magmom_total_mub_per_fu=6.549 pbc="T T T"
Zr 0.0000 0.0000 0.0000
Sc 1.9606 1.9606 1.9606
Ti 4.9136 2.9287 2.9287
Ti 2.9287 4.9136 2.9287
Ti 2.9287 2.9287 4.9136
Ti 4.9136 4.9136 4.9136

13.
9
Lattice="8.5985 -2.2900 0.0000 8.5985 2.2900 0.0000 -2.9461 0.0000 8.5011" Properties=species:S:1:pos:R:3 comment="Cs2Zn2SnTe4 (PBE, optimized geometry)" e_tot_ev_per_atom=-2.9704 magmom_total_mub_per_fu=0.000 pbc="T T T"
Cs 2.1142 0.0000 0.4225
Cs 12.1367 0.0000 8.0786
Zn 4.1166 0.0000 4.4937
Zn 10.1343 0.0000 4.0074
Sn -1.4730 0.0000 4.2505
Te 1.5218 0.0000 5.5704
Te 6.0626 0.0000 6.2506
Te 8.1882 0.0000 2.2505
Te 12.7291 0.0000 2.9307

14.
16
Lattice="4.6300 2.6731 7.5208 -4.6300 2.6731 7.5208 0.0000 -5.3463 7.5208" Properties=species:S:1:pos:R:3 comment="La8GeBi3Te4 (PBE, optimized geometry)" e_tot_ev_per_atom=-5.5992 dos_ef_per_ev_atom=0.37 magmom_total_mub_per_fu=0.000 pbc="T T T"
La 0.0000 0.0000 5.6326
La -2.2171 -1.2801 13.0752
La 0.0000 -2.5601 9.4872
La -2.2171 1.2801 9.4872
La 2.2171 -1.2801 13.0752
La 0.0000 2.5601 13.0752
La 2.2171 1.2801 9.4872
La 0.0000 0.0000 16.9298
Ge 0.0000 0.0000 11.2812
Bi -4.6300 0.0000 11.2812
Bi -2.3150 1.3366 3.7604
Bi 2.3150 1.3366 3.7604
Te 0.0000 0.0000 0.0000
Te -2.3150 -1.3366 7.5208
Te -2.3150 1.3366 15.0415
Te 0.0000 2.6731 7.5208

15.
19
Lattice="7.2201 4.1685 3.1399 -7.2201 4.1685 3.1399 0.0000 -8.3370 3.1399" Properties=species:S:1:pos:R:3 comment="TlCd12Bi6 (PBE, optimized geometry)" e_tot_ev_per_atom=-1.8653 dos_ef_per_ev_atom=0.22 magmom_total_mub_per_fu=0.000 pbc="T T T"
Tl 0.0000 0.0000 0.0000
Cd -2.8855 -4.9978 4.7098
Cd -5.7709 0.0000 4.7098
Cd -1.5026 -0.8675 3.1518
Cd 1.5026 -0.8675 3.1518
Cd 0.0000 1.7350 3.1518
Cd 2.8855 -4.9978 4.7098
Cd -2.8855 4.9978 4.7098
Cd 0.0000 -1.7350 6.2677
Cd -1.5026 0.8675 6.2677
Cd 1.5026 0.8675 6.2677
Cd 5.7709 0.0000 4.7098
Cd 2.8855 4.9978 4.7098
Bi -3.5884 -2.0718 5.0480
Bi 0.0000 -4.1435 4.3716
Bi -3.5884 2.0718 4.3716
Bi 3.5884 -2.0717 5.0480
Bi 0.0000 4.1435 5.0480
Bi 3.5884 2.0717 4.3716

16.
4
Lattice="4.0678 0.0000 0.0000 0.0000 4.0678 0.0000 0.0000 0.0000 5.7583" Properties=species:S:1:pos:R:3 comment="Sc2AsPb (PBE, optimized geometry)" relative_energy_ev_per_atom=0.209 e_tot_ev_per_atom=-5.9242 dos_ef_per_ev_atom=0.75 magmom_total_mub_per_fu=0.000 pbc="T T T"
Sc 0.0000 0.0000 0.0000
Sc 2.0339 2.0339 2.8792
As 0.0000 0.0000 2.8792
Pb 2.0339 2.0339 0.0000

17.
19
Lattice="5.6191 3.2442 3.1079 -5.6191 3.2442 3.1079 0.0000 -6.4884 3.1079" Properties=species:S:1:pos:R:3 comment="AgHg6Pd12 (PBE, optimized geometry)" e_tot_ev_per_atom=-3.5479 dos_ef_per_ev_atom=0.75 magmom_total_mub_per_fu=0.000 pbc="T T T"
Ag 0.0000 0.0000 0.0000
Hg 0.0000 -1.7230 2.3746
Hg -1.4922 0.8615 2.3746
Hg 1.4922 0.8615 2.3746
Hg -1.4922 -0.8615 6.9490
Hg 1.4922 -0.8615 6.9490
Hg 0.0000 1.7230 6.9490
Pd -1.4592 -3.9610 3.1079
Pd -4.1599 0.7168 3.1079
Pd -2.2550 -1.3019 4.2323
Pd 1.4592 -3.9610 3.1079
Pd -2.7008 3.2442 3.1079
Pd 0.0000 -2.6039 5.0912
Pd -2.2550 1.3019 5.0912
Pd 2.2550 -1.3019 4.2323
Pd 0.0000 2.6039 4.2323
Pd 4.1599 0.7168 3.1079
Pd 2.7008 3.2442 3.1079
Pd 2.2550 1.3019 5.0912

18.
12
Lattice="6.8063 -3.2274 0.0000 6.8063 3.2274 0.0000 -1.3470 0.0000 4.1265" Properties=species:S:1:pos:R:3 comment="Li6Ag5Rh (PBE, optimized geometry)" e_tot_ev_per_atom=-2.9332 dos_ef_per_ev_atom=0.31 magmom_total_mub_per_fu=0.000 pbc="T T T"
Li 4.1487 1.6652 1.3979
Li 6.8063 1.7050 0.0000
Li 8.1168 1.6652 2.7287
Li 4.1487 -1.6652 1.3979
Li 6.8063 -1.7050 0.0000
Li 8.1168 -1.6652 2.7287
Ag 2.0496 0.0000 0.6904
Ag 3.4133 0.0000 3.4373
Ag 6.1328 0.0000 2.0633
Ag 8.8523 0.0000 0.6893
Ag 10.2159 0.0000 3.4362
Rh -0.6735 0.0000 2.0633

19.
4
Lattice="-1.5617 2.2289 4.3963 1.5617 -2.2289 4.3963 1.5617 2.2289 -4.3963" Properties=species:S:1:pos:R:3 comment="ReMo2Ru (PBE, optimized geometry)" relative_energy_ev_per_atom=0.067 e_tot_ev_per_atom=-10.6680 dos_ef_per_ev_atom=1.00 magmom_total_mub_per_fu=0.000 pbc="T T T"
Re 0.0000 0.0000 0.0000
Mo 1.5617 0.0000 2.0981
Mo 0.0000 2.2289 2.2982
Ru 0.0000 0.0000 4.3963

20.
3
Lattice="-1.4949 1.4949 5.8978 1.4949 -1.4949 5.8978 1.4949 1.4949 -5.8978" Properties=species:S:1:pos:R:3 comment="InCuSi (PBE, optimized geometry)" e_tot_ev_per_atom=-3.8413 dos_ef_per_ev_atom=0.19 magmom_total_mub_per_fu=0.000 pbc="T T T"
In 0.0000 0.0000 0.0000
Cu 0.0000 0.0000 8.0257
Si 0.0000 0.0000 3.4902

21.
10
Lattice="8.2863 0.0000 0.0000 0.0000 6.6925 0.0000 -0.0416 0.0000 6.2114" Properties=species:S:1:pos:R:3 comment="TbPm2NdHo (PBE, optimized geometry)" e_tot_ev_per_atom=-4.4222 dos_ef_per_ev_atom=1.19 magmom_total_mub_per_fu=0.000 pbc="T T T"
Tb -0.0104 0.4988 1.5528
Tb -0.0312 6.1937 4.6585
Pm 2.5124 1.2837 4.6445
Pm 2.5332 5.4088 1.5389
Pm 5.7115 1.2837 4.6725
Pm 5.7323 5.4088 1.5668
Nd 0.0000 3.3463 0.0000
Nd -0.0208 3.3463 3.1057
Ho 4.1327 2.2819 1.5528
Ho 4.1119 4.4106 4.6585

22.
10
Lattice="-3.9004 3.9004 4.5469 3.9004 -3.9004 4.5469 3.9004 3.9004 -4.5469" Properties=species:S:1:pos:R:3 comment="Rb2GaHCl6 (PBE, optimized geometry)" relative_energy_ev_per_atom=0.060 e_tot_ev_per_atom=-3.2276 dos_ef_per_ev_atom=0.00 magmom_total_mub_per_fu=0.000 pbc="T T T"
Rb 3.9004 0.0000 2.2735
Rb 0.0000 3.9004 2.2735
Ga 0.0000 0.0000 0.0000
H 0.0000 0.0000 4.5469
Cl 1.6204 1.6204 0.0000
Cl 2.2801 -2.2801 4.5469
Cl 0.0000 0.0000 2.9726
Cl 0.0000 0.0000 6.1212
Cl -2.2801 2.2801 4.5469
Cl 2.2801 2.2801 4.5469

23.
4
Lattice="0.0000 3.1605 3.1605 3.1605 0.0000 3.1605 3.1605 3.1605 0.0000" Properties=species:S:1:pos:R:3 comment="Re3Br (PBE, optimized geometry)" relative_energy_ev_per_atom=0.472 e_tot_ev_per_atom=-8.5033 dos_ef_per_ev_atom=0.85 magmom_total_mub_per_fu=0.000 pbc="T T T"
Re 0.0000 0.0000 0.0000
Re 1.5803 1.5803 1.5803
Re 4.7408 4.7408 4.7408
Br 3.1605 3.1605 3.1605